a) First-principles (PBE) data for a geometry-optimized KBeV structure, as listed in Alexandria.

It has space group P-6m2 (No. 187), with a = 4.9629 Å, b = 4.9629 Å, c = 7.5215 Å, α = 90.00°, β = 90.00° and γ = 120.00°. The asymmetric unit holds K at (0.0000, 0.0000, 0.0000), K at (0.0000, 0.0000, 0.5000), Be at (0.6667, 0.3333, 0.1429) and V at (0.3333, 0.6667, 0.1233).

The value obtained for the density of states at the Fermi level is 0.7520 states/eV per atom.

b) First-principles (PBE) data for a geometry-optimized KBeV structure, as listed in Alexandria.

It has space group P1 (No. 1), with a = 4.112 Å, b = 4.113 Å, c = 11.023 Å, α = 85.27°, β = 85.25° and γ = 66.24°. The asymmetric unit holds K at (0.000, 0.000, 0.000), K at (0.363, 0.365, 0.378), Be at (0.067, 0.064, 0.613), Be at (0.592, 0.589, 0.613), V at (0.099, 0.524, 0.718) and V at (0.527, 0.096, 0.718).

The value obtained for the density of states at the Fermi level is 0.6137 states/eV per atom.

c) First-principles (PBE) data for a geometry-optimized KBeV structure, as listed in Alexandria.

It has space group P1 (No. 1), with a = 3.957 Å, b = 4.384 Å, c = 10.321 Å, α = 94.95°, β = 90.10° and γ = 90.00°. The asymmetric unit holds K at (0.000, 0.000, 0.000), K at (0.498, 0.577, 0.407), Be at (0.998, 0.147, 0.633), Be at (0.998, 0.650, 0.656), V at (0.498, 0.383, 0.729) and V at (0.499, 0.945, 0.722).

The value obtained for the density of states at the Fermi level is 0.5645 states/eV per atom.

Least stable: a)

a) First-principles (PBE) data for a geometry-optimized KBeV structure, as listed in Alexandria.

It has space group C2 (No. 5), with a = 19.441 Å, b = 4.373 Å, c = 4.184 Å, α = 90.00°, β = 91.76° and γ = 90.00°. The asymmetric unit holds K at (0.151, 0.000, 0.234), Be at (0.000, 0.002, 0.000), Be at (0.000, 0.002, 0.500) and V at (0.020, 0.502, 0.712).

The value obtained for the density of states at the Fermi level is 0.5520 states/eV per atom.

b) First-principles (PBE) data for a geometry-optimized KBeV structure, as listed in Alexandria.

It has space group P1 (No. 1), with a = 3.453 Å, b = 3.456 Å, c = 12.289 Å, α = 82.50°, β = 89.84° and γ = 89.99°. The asymmetric unit holds K at (0.000, 0.000, 0.000), K at (0.497, 0.323, 0.340), Be at (0.011, 0.195, 0.591), Be at (0.512, 0.696, 0.591), V at (0.010, 0.631, 0.731) and V at (0.510, 0.131, 0.731).

The value obtained for the density of states at the Fermi level is 0.9958 states/eV per atom.

c) First-principles (PBE) data for a geometry-optimized KBeV structure, as listed in Alexandria.

It has space group P1 (No. 1), with a = 3.064 Å, b = 6.488 Å, c = 6.633 Å, α = 83.88°, β = 79.28° and γ = 81.38°. The asymmetric unit holds K at (0.000, 0.000, 0.000), K at (0.372, 0.506, 0.850), Be at (0.484, 0.675, 0.354), Be at (0.883, 0.834, 0.499), V at (0.029, 0.384, 0.384) and V at (0.340, 0.125, 0.465).

The value obtained for the density of states at the Fermi level is 0.5071 states/eV per atom.

Least stable: c)

a) First-principles (PBE) data for a geometry-optimized KBe2V structure, as listed in Alexandria.

It has space group I-42d (No. 122), with a = 7.372 Å, b = 7.372 Å, c = 6.423 Å, α = 90.00°, β = 90.00° and γ = 90.00°. The asymmetric unit holds K at (0.000, 0.000, 0.000), Be at (0.174, 0.250, 0.625) and V at (0.000, 0.000, 0.500).

The value obtained for the density of states at the Fermi level is 0.8009 states/eV per atom.

b) First-principles (PBE) data for a geometry-optimized KBe2V structure, as listed in Alexandria.

It has space group Fm-3m (No. 225), with a = 6.628 Å, b = 6.628 Å, c = 6.628 Å, α = 90.00°, β = 90.00° and γ = 90.00°. The asymmetric unit holds K at (0.000, 0.000, 0.000), Be at (0.250, 0.250, 0.250) and V at (0.000, 0.000, 0.500).

The value obtained for the density of states at the Fermi level is 1.6208 states/eV per atom.

Least stable: a)

a) First-principles (PBE) data for a geometry-optimized KBeV3 structure, as listed in Alexandria.

It has space group Pm-3m (No. 221), with a = 4.218 Å, b = 4.218 Å, c = 4.218 Å, α = 90.00°, β = 90.00° and γ = 90.00°. The asymmetric unit holds K at (0.000, 0.000, 0.000), Be at (0.500, 0.500, 0.500) and V at (0.000, 0.000, 0.500).

The value obtained for the density of states at the Fermi level is 0.3434 states/eV per atom.

b) First-principles (PBE) data for a geometry-optimized KBeV3 structure, as listed in Alexandria.

It has space group Pm-3m (No. 221), with a = 4.680 Å, b = 4.680 Å, c = 4.680 Å, α = 90.00°, β = 90.00° and γ = 90.00°. The asymmetric unit holds K at (0.000, 0.000, 0.000), Be at (0.500, 0.500, 0.500) and V at (0.000, 0.500, 0.500).

The value obtained for the density of states at the Fermi level is 2.2051 states/eV per atom.

Least stable: a)

a) First-principles (PBE) data for a geometry-optimized KBe3W structure, as listed in Alexandria.

It has space group Pm-3m (No. 221), with a = 4.151 Å, b = 4.151 Å, c = 4.151 Å, α = 90.00°, β = 90.00° and γ = 90.00°. The asymmetric unit holds K at (0.000, 0.000, 0.000), Be at (0.000, 0.000, 0.500) and W at (0.500, 0.500, 0.500).

The value obtained for the density of states at the Fermi level is 0.5903 states/eV per atom.

b) First-principles (PBE) data for a geometry-optimized KBe3W structure, as listed in Alexandria.

It has space group Pm-3m (No. 221), with a = 4.661 Å, b = 4.661 Å, c = 4.661 Å, α = 90.00°, β = 90.00° and γ = 90.00°. The asymmetric unit holds K at (0.000, 0.000, 0.000), Be at (0.000, 0.500, 0.500) and W at (0.500, 0.500, 0.500).

The value obtained for the density of states at the Fermi level is 0.9878 states/eV per atom.

Least stable: a)

a) First-principles (PBE) data for a geometry-optimized K3YBe structure, as listed in Alexandria.

It has space group Pm-3m (No. 221), with a = 6.322 Å, b = 6.322 Å, c = 6.322 Å, α = 90.00°, β = 90.00° and γ = 90.00°. The asymmetric unit holds K at (0.000, 0.000, 0.500), Y at (0.500, 0.500, 0.500) and Be at (0.000, 0.000, 0.000).

The value obtained for the density of states at the Fermi level is 0.9349 states/eV per atom.

b) First-principles (PBE) data for a geometry-optimized K3YBe structure, as listed in Alexandria.

It has space group Pm-3m (No. 221), with a = 7.395 Å, b = 7.395 Å, c = 7.395 Å, α = 90.00°, β = 90.00° and γ = 90.00°. The asymmetric unit holds K at (0.000, 0.000, 0.500), Y at (0.000, 0.000, 0.000) and Be at (0.500, 0.500, 0.500).

The value obtained for the density of states at the Fermi level is 3.9948 states/eV per atom.

Least stable: b)